# Ba2AlGa2, relaxed, DFT GGA-PBE
data_Ba2AlGa2
_chemical_formula_sum 'Ba8 Al4 Ga8'
_cell_length_a 11.713
_cell_length_b 5.035
_cell_length_c 11.782
_cell_angle_alpha 90.00
_cell_angle_beta 118.75
_cell_angle_gamma 90.00
_symmetry_space_group_name_H-M 'C 1 2/m 1'
_symmetry_Int_Tables_number 12
_symmetry_space_group_name_Hall '-C 2y'
loop_
_atom_site_label
_atom_site_fract_x
_atom_site_fract_y
_atom_site_fract_z
Ba1 0.088 0.000 0.385
Ba2 0.177 0.500 0.166
Al1 0.135 0.500 0.852
Ga1 0.098 0.000 0.952
Ga2 0.108 0.500 0.612
# * ΔH_f (0 K): -344 meV per atom
# * Fermi-level density of states: 3.355 states/eV/f.u.
# * crystal system: monoclinic
# * polymorph energy (0 for the lowest one): 0.0 meV per atom
# * raw total energy: -3.073 eV per atom

# BaAlGa3, relaxed, DFT GGA-PBE
data_BaAlGa3
_chemical_formula_sum 'Ba2 Al2 Ga6'
_cell_length_a 6.562
_cell_length_b 6.560
_cell_length_c 6.324
_cell_angle_alpha 90.00
_cell_angle_beta 120.92
_cell_angle_gamma 90.00
_symmetry_space_group_name_H-M 'C 1 m 1'
_symmetry_Int_Tables_number 8
_symmetry_space_group_name_Hall 'C -2y'
loop_
_atom_site_label
_atom_site_fract_x
_atom_site_fract_y
_atom_site_fract_z
Ba1 0.000 0.000 0.000
Al1 0.126 0.500 0.253
Ga1 0.002 0.248 0.503
Ga2 0.382 0.000 0.762
# * ΔH_f (0 K): -394 meV per atom
# * Fermi-level density of states: 2.090 states/eV/f.u.
# * crystal system: monoclinic
# * polymorph energy (0 for the lowest one): 0.0 meV per atom
# * raw total energy: -3.343 eV per atom

# BaAlGa2, relaxed, DFT GGA-PBE
data_BaAlGa2
_chemical_formula_sum 'Ba4 Al4 Ga8'
_cell_length_a 5.274
_cell_length_b 5.274
_cell_length_c 17.292
_cell_angle_alpha 90.00
_cell_angle_beta 90.00
_cell_angle_gamma 90.00
_symmetry_space_group_name_H-M 'I 41/a m d'
_symmetry_Int_Tables_number 141
loop_
_symmetry_equiv_pos_as_xyz
'x,y,z'
'-x,-y,-z'
'-y+1/4,x+3/4,z+1/4'
'y+1/4,-x+3/4,-z+1/4'
'-x+1/2,-y,z+1/2'
'x+1/2,y,-z+1/2'
'y+1/4,-x+1/4,z+3/4'
'-y+1/4,x+1/4,-z+3/4'
'x,-y,-z'
'-x,y,z'
'-y+1/4,-x+1/4,-z+3/4'
'y+1/4,x+1/4,z+3/4'
'-x+1/2,y,-z+1/2'
'x+1/2,-y,z+1/2'
'y+1/4,x+3/4,-z+1/4'
'-y+1/4,-x+3/4,z+1/4'
'x+1/2,y+1/2,z+1/2'
'-x+1/2,-y+1/2,-z+1/2'
'-y+3/4,x+1/4,z+3/4'
'y+3/4,-x+1/4,-z+3/4'
'-x,-y+1/2,z'
'x,y+1/2,-z'
'y+3/4,-x+3/4,z+1/4'
'-y+3/4,x+3/4,-z+1/4'
'x+1/2,-y+1/2,-z+1/2'
'-x+1/2,y+1/2,z+1/2'
'-y+3/4,-x+3/4,-z+1/4'
'y+3/4,x+3/4,z+1/4'
'-x,y+1/2,-z'
'x,-y+1/2,z'
'y+3/4,x+1/4,-z+3/4'
'-y+3/4,-x+1/4,z+3/4'
loop_
_atom_site_label
_atom_site_fract_x
_atom_site_fract_y
_atom_site_fract_z
Ba1 0.000 0.250 0.375
Al1 0.000 0.250 0.875
Ga1 0.000 0.000 0.000
# * ΔH_f (0 K): -216 meV per atom
# * Fermi-level density of states: 1.910 states/eV/f.u.
# * crystal system: tetragonal
# * raw total energy: -3.146 eV per atom

# Ba3Al2Ga2, relaxed, DFT GGA-PBE
data_Ba3Al2Ga2
_chemical_formula_sum 'Ba6 Al4 Ga4'
_cell_length_a 4.527
_cell_length_b 5.192
_cell_length_c 20.313
_cell_angle_alpha 90.00
_cell_angle_beta 90.00
_cell_angle_gamma 90.00
_symmetry_space_group_name_H-M 'I m m m'
_symmetry_Int_Tables_number 71
_symmetry_space_group_name_Hall '-I 2 2'
loop_
_atom_site_label
_atom_site_fract_x
_atom_site_fract_y
_atom_site_fract_z
Ba1 0.000 0.000 0.000
Ba2 0.000 0.500 0.316
Al1 0.000 0.000 0.434
Ga1 0.000 0.500 0.130
# * ΔH_f (0 K): -294 meV per atom
# * Fermi-level density of states: 7.538 states/eV/f.u.
# * crystal system: orthorhombic
# * raw total energy: -3.052 eV per atom

# Ba3Al2Ga3, relaxed, DFT GGA-PBE
data_Ba3Al2Ga3
_chemical_formula_sum 'Ba12 Al8 Ga12'
_cell_length_a 4.342
_cell_length_b 12.809
_cell_length_c 18.797
_cell_angle_alpha 90.00
_cell_angle_beta 90.00
_cell_angle_gamma 90.00
_symmetry_space_group_name_H-M 'C m c m'
_symmetry_Int_Tables_number 63
_symmetry_space_group_name_Hall '-C 2c 2'
loop_
_atom_site_label
_atom_site_fract_x
_atom_site_fract_y
_atom_site_fract_z
Ba1 0.000 0.159 0.068
Ba2 0.000 0.168 0.750
Al1 0.000 0.463 0.681
Ga1 0.000 0.116 0.250
Ga2 0.000 0.434 0.063
# * ΔH_f (0 K): -249 meV per atom
# * Fermi-level density of states: 5.453 states/eV/f.u.
# * crystal system: orthorhombic
# * polymorph energy (0 for the lowest one): 110.4 meV per atom
# * raw total energy: -3.041 eV per atom

# Ba2Al2Ga, relaxed, DFT GGA-PBE
data_Ba2Al2Ga
_chemical_formula_sum 'Ba4 Al4 Ga2'
_cell_length_a 7.304
_cell_length_b 7.304
_cell_length_c 5.601
_cell_angle_alpha 90.00
_cell_angle_beta 90.00
_cell_angle_gamma 90.00
_symmetry_space_group_name_H-M 'P 4/m b m'
_symmetry_Int_Tables_number 127
_symmetry_space_group_name_Hall '-P 4 2ab'
loop_
_atom_site_label
_atom_site_fract_x
_atom_site_fract_y
_atom_site_fract_z
Ba1 0.181 0.319 0.000
Al1 0.130 0.630 0.500
Ga1 0.000 0.000 0.500
# * ΔH_f (0 K): -91 meV per atom
# * Fermi-level density of states: 4.323 states/eV/f.u.
# * crystal system: tetragonal
# * polymorph energy (0 for the lowest one): 150.3 meV per atom
# * raw total energy: -2.963 eV per atom

# BaAlGa3, relaxed, DFT GGA-PBE
data_BaAlGa3
_chemical_formula_sum 'Ba1 Al1 Ga3'
_cell_length_a 5.099
_cell_length_b 5.099
_cell_length_c 5.099
_cell_angle_alpha 90.00
_cell_angle_beta 90.00
_cell_angle_gamma 90.00
_symmetry_space_group_name_H-M 'P m -3 m'
_symmetry_Int_Tables_number 221
_symmetry_space_group_name_Hall '-P 4 2 3'
loop_
_atom_site_label
_atom_site_fract_x
_atom_site_fract_y
_atom_site_fract_z
Ba1 0.000 0.000 0.000
Al1 0.500 0.500 0.500
Ga1 0.000 0.500 0.500
# * ΔH_f (0 K): -75 meV per atom
# * Fermi-level density of states: 4.054 states/eV/f.u.
# * crystal system: cubic
# * polymorph energy (0 for the lowest one): 319.6 meV per atom
# * raw total energy: -3.024 eV per atom

# Ba2Al6Ga3, relaxed, DFT GGA-PBE
data_Ba2Al6Ga3
_chemical_formula_sum 'Ba2 Al6 Ga3'
_cell_length_a 8.0919
_cell_length_b 8.0919
_cell_length_c 4.4477
_cell_angle_alpha 90.00
_cell_angle_beta 90.00
_cell_angle_gamma 120.00
_symmetry_space_group_name_H-M 'P -6 2 m'
_symmetry_Int_Tables_number 189
_symmetry_space_group_name_Hall 'P -6 -2'
loop_
_atom_site_label
_atom_site_fract_x
_atom_site_fract_y
_atom_site_fract_z
Ba1 0.3333 0.6667 0.0000
Al1 0.0000 0.2880 0.5000
Al2 0.0000 0.8124 0.0000
Ga1 0.0000 0.6337 0.5000
# * ΔH_f (0 K): -263 meV per atom
# * Fermi-level density of states: 3.408 states/eV/f.u.
# * crystal system: hexagonal
# * raw total energy: -3.480 eV per atom